Entry 1:
The following is a PBE calculation of a relaxed Hg2AsCl crystal, from Alexandria via LeMat-Bulk.

Output
Symmetry: Pm, No. 6
Magnetic moment: 0.0 μB per cell
Raw formation energy: -0.101 eV/atom
Offset from the most stable computed form: 166 meV/atom

Cell lengths 4.7861, 5.4838, 4.7978 Å; angles 90.00, 119.68, 90.00 degrees
Fractional coordinates of all 4 atoms:
Hg1 0.0000 0.0000 0.0000
Hg2 0.3348 0.5000 0.6655
As1 0.3333 0.0000 0.6641
Cl1 0.6683 0.5000 0.3300

Entry 2:
The following is a PBE calculation of a relaxed HgAsCl2 crystal, from Alexandria via LeMat-Bulk.

Output
Symmetry: P4/mmm, No. 123
Magnetic moment: 0.0 μB per cell
Raw formation energy: 0.091 eV/atom
Offset from the most stable computed form: 389 meV/atom

Cell lengths 3.2148, 3.2148, 9.9021 Å; angles 90.00, 90.00, 90.00 degrees
Fractional coordinates of all 4 atoms:
Hg1 0.0000 0.0000 0.0000
As1 0.0000 0.0000 0.5000
Cl1 0.5000 0.5000 0.3286
Cl2 0.5000 0.5000 0.6714

Entry 3:
The following is a PBE calculation of a relaxed HgAs2Cl8 crystal, from Alexandria via LeMat-Bulk.

Output
Symmetry: C2/m, No. 12
Magnetic moment: 0.0 μB per cell
Raw formation energy: -0.666 eV/atom
Offset from the most stable computed form: 11 meV/atom

Cell lengths 8.3507, 8.3507, 9.0391 Å; angles 114.84, 114.84, 61.38 degrees
Fractional coordinates of all 11 atoms:
Hg1 0.0000 0.0000 0.0000
As1 0.1890 0.1890 0.6808
As2 0.8110 0.8110 0.3192
Cl1 0.0760 0.6828 0.2446
Cl2 0.1577 0.1577 0.2518
Cl3 0.3172 0.9240 0.7554
Cl4 0.3530 0.3530 0.8969
Cl5 0.6470 0.6470 0.1031
Cl6 0.6828 0.0760 0.2446
Cl7 0.8423 0.8423 0.7482
Cl8 0.9240 0.3172 0.7554

Entry 4:
The following is a PBE calculation of a relaxed HgAs2Cl crystal, from Alexandria via LeMat-Bulk.

Output
Symmetry: Cmmm, No. 65
Magnetic moment: 0.0 μB per cell
Raw formation energy: 0.330 eV/atom
Offset from the most stable computed form: 481 meV/atom

Cell lengths 3.2375, 3.2375, 9.2944 Å; angles 90.00, 90.00, 119.17 degrees
Fractional coordinates of all 4 atoms:
Hg1 0.0000 0.0000 0.0000
As1 0.5000 0.5000 0.2565
As2 0.5000 0.5000 0.7435
Cl1 0.0000 0.0000 0.5000

Number 3 is which compound? HgAs2Cl8